# Sm2YEr3As6, optimized geometry, DFT GGA-PBE
# Calculated total energy: -75.78 eV per formula unit
# Formation energy from the elements: -1.52 eV/atom
# Calculated volume: 24.976 A^3/atom
data_Sm2YEr3As6
_chemical_formula_sum 'Sm4 Y2 Er6 As12'
_symmetry_space_group_name_H-M 'C 1 2/m 1'
_symmetry_Int_Tables_number 12
_cell_length_a 18.015
_cell_length_b 4.136
_cell_length_c 8.265
_cell_angle_alpha 90.00
_cell_angle_beta 103.22
_cell_angle_gamma 90.00
loop_
_symmetry_equiv_pos_as_xyz
'x,y,z'
'-x,-y,-z'
'-x,y,-z'
'x,-y,z'
'x+1/2,y+1/2,z'
'-x+1/2,-y+1/2,-z'
'-x+1/2,y+1/2,-z'
'x+1/2,-y+1/2,z'
loop_
_atom_site_label
_atom_site_type_symbol
_atom_site_fract_x
_atom_site_fract_y
_atom_site_fract_z
Sm1 Sm 0.166 0.000 0.333
Y1 Y 0.000 0.500 0.000
Er1 Er 0.000 0.500 0.500
Er2 Er 0.167 0.000 0.834
As1 As 0.002 0.000 0.749
As2 As 0.165 0.500 0.588
As3 As 0.167 0.500 0.078